Entry 1:
The following is a GGA+U calculation of a relaxed Ca2UCrO6 crystal, from the Alexandria database.

Summary:
E (eV/atom): -7.954
Space group: P4mm (99)

Cell: 5.7425 5.7425 4.2945 Å, 90.00 90.00 90.00°
Atoms (fractional coordinates):
Ca 0.0000 0.5000 0.0000
Ca 0.5000 0.0000 0.0000
U 0.0000 0.0000 0.5980
Cr 0.5000 0.5000 0.6174
O 0.0000 0.0000 0.1060
O 0.2560 0.2560 0.6558
O 0.2560 0.7440 0.6558
O 0.5000 0.5000 0.1343
O 0.7440 0.2560 0.6558
O 0.7440 0.7440 0.6558

Entry 2:
The following is a GGA+U calculation of a relaxed CaUCr2O6 crystal, from the Alexandria database.

Summary:
E (eV/atom): -7.869
Space group: P4mm (99)

Cell: 6.0843 6.0843 4.3527 Å, 90.00 90.00 90.00°
Atoms (fractional coordinates):
Ca 0.0000 0.0000 0.0000
U 0.5000 0.5000 0.0709
Cr 0.0000 0.5000 0.2505
Cr 0.5000 0.0000 0.2505
O 0.0000 0.0000 0.5175
O 0.2623 0.2623 0.1364
O 0.2623 0.7377 0.1364
O 0.5000 0.5000 0.5896
O 0.7377 0.2623 0.1364
O 0.7377 0.7377 0.1364

Entry 3:
The following is a GGA+U calculation of a relaxed CaV2CrO8 crystal, from the Alexandria database.

Summary:
E (eV/atom): -7.151
Space group: I-4m2 (119)

Cell: 5.8081 5.8081 5.8081 Å, 106.34 106.34 115.94°
Atoms (fractional coordinates):
Ca 0.0000 0.0000 0.0000
V 0.2500 0.7500 0.5000
V 0.5000 0.5000 0.0000
Cr 0.7500 0.2500 0.5000
O 0.0533 0.3752 0.3218
O 0.0533 0.7315 0.6782
O 0.1302 0.3336 0.7966
O 0.2685 0.9467 0.3218
O 0.5370 0.3336 0.2034
O 0.6248 0.9467 0.6782
O 0.6664 0.4630 0.7966
O 0.6664 0.8698 0.2034

Entry 4:
The following is a GGA+U calculation of a relaxed CaZnCr2O8 crystal, from the Alexandria database.

Summary:
E (eV/atom): -6.330
Space group: R-3 (148)

Cell: 7.5882 7.5882 7.5882 Å, 38.18 38.18 38.18°
Atoms (fractional coordinates):
Ca 0.0000 0.0000 0.0000
Zn 0.5000 0.5000 0.5000
Cr 0.2491 0.2491 0.2491
Cr 0.7509 0.7509 0.7509
O 0.0940 0.7766 0.4497
O 0.2234 0.5503 0.9060
O 0.3278 0.3278 0.3278
O 0.4497 0.0940 0.7766
O 0.5503 0.9060 0.2234
O 0.6722 0.6722 0.6722
O 0.7766 0.4497 0.0940
O 0.9060 0.2234 0.5503

Entry 5:
The following is a GGA+U calculation of a relaxed Ca2ZrCrO6 crystal, from the Alexandria database.

Summary:
E (eV/atom): -7.701
Space group: P2_1/c (14)

Cell: 5.5083 5.6339 9.5591 Å, 90.00 125.04 90.00°
Atoms (fractional coordinates):
Ca 0.2366 0.0470 0.2497
Ca 0.2366 0.4530 0.7497
Ca 0.7634 0.5470 0.2503
Ca 0.7634 0.9530 0.7503
Zr 0.5000 0.0000 0.0000
Zr 0.5000 0.5000 0.5000
Cr 0.0000 0.0000 0.5000
Cr 0.0000 0.5000 0.0000
O 0.1446 0.2178 0.9523
O 0.1446 0.2822 0.4523
O 0.2367 0.7008 0.9503
O 0.2367 0.7992 0.4503
O 0.3294 0.0276 0.7388
O 0.3294 0.4724 0.2388
O 0.6706 0.5276 0.7612
O 0.6706 0.9724 0.2612
O 0.7633 0.2008 0.5497
O 0.7633 0.2992 0.0497
O 0.8554 0.7178 0.5477
O 0.8554 0.7822 0.0477

Entry 6:
The following is a GGA+U calculation of a relaxed CaZrCrO2 crystal, from the Alexandria database.

Summary:
E (eV/atom): -5.574
Space group: P4/mmm (123)

Cell: 4.0955 4.0955 5.0505 Å, 90.00 90.00 90.00°
Atoms (fractional coordinates):
Ca 0.0000 0.0000 0.0000
Zr 0.5000 0.5000 0.0000
Cr 0.0000 0.0000 0.5000
O 0.0000 0.5000 0.5000
O 0.5000 0.0000 0.5000